# ZrTaRh

ZrTaRh after structural relaxation (PBE, Alexandria via LeMat-Bulk).

Cell: 4.4585 4.4585 4.4585 Å, 60.00 60.00 60.00°
With the nearest neighbours (Å) after each atom.
Atoms (fractional coordinates):
Zr 0.0000 0.0000 0.0000  4 Rh 2.73
Ta 0.5000 0.5000 0.5000  4 Rh 2.73
Rh 0.2500 0.2500 0.2500  4 Ta 2.73, 4 Zr 2.73

Properties
* density of states at the Fermi level: 0.6984 states/eV per atom

# DyYP2

DyYP2 after structural relaxation (PBE, Alexandria via LeMat-Bulk).

Cell: 8.9675 8.9675 6.9467 Å, 104.96 104.96 126.86°
With the nearest neighbours (Å) after each atom.
Atoms (fractional coordinates):
Dy 0.0624 0.9376 0.7500  6 P 2.83-2.84
Dy 0.3125 0.6875 0.7500  6 P 2.83-2.84
Dy 0.6875 0.3125 0.2500  6 P 2.83-2.84
Dy 0.9376 0.0624 0.2500  6 P 2.83-2.84
Y 0.1876 0.8124 0.2500  6 P 2.84
Y 0.4375 0.5625 0.2500  6 P 2.84
Y 0.5625 0.4375 0.7500  6 P 2.84
Y 0.8124 0.1876 0.7500  6 P 2.84
P 0.0623 0.4372 0.2506  3 Dy 2.83, 3 Y 2.84
P 0.1872 0.3123 0.7495  3 Dy 2.83-2.84, 3 Y 2.84
P 0.3123 0.1872 0.2495  3 Dy 2.83-2.84, 3 Y 2.84
P 0.4372 0.0623 0.7506  3 Dy 2.83, 3 Y 2.84
P 0.5628 0.9377 0.2494  3 Dy 2.83, 3 Y 2.84
P 0.6877 0.8128 0.7505  3 Dy 2.83-2.84, 3 Y 2.84
P 0.8128 0.6877 0.2505  3 Dy 2.83-2.84, 3 Y 2.84
P 0.9377 0.5628 0.7494  3 Dy 2.83, 3 Y 2.84

Properties
* density of states at the Fermi level: 0.1290 states/eV per atom

Number 1: formation energy from the elements -0.09 eV per formula unit. Number 2: formation energy from the elements -6.49 eV per formula unit.